Entry 1:
First-principles (PBE) data for an optimized crystal structure of NaGa6Au12, as listed in the Alexandria database.

Structure (POSCAR):
```
NaGa6Au12
1.0
8.1154 0.0001 2.6015
-3.7712 6.0491 2.4585
0.5727 0.0000 7.5185
Au Ga Na
12 6 1
direct
0.8513 0.6312 0.9156
0.7669 0.9156 0.4532
0.3890 0.1800 0.1003
0.2090 0.7197 0.1800
0.7910 0.2803 0.8200
0.1487 0.3688 0.0844
0.4893 0.1003 0.7197
0.5107 0.8997 0.2803
0.2201 0.4532 0.6312
0.7799 0.5468 0.3688
0.2331 0.0844 0.5468
0.6110 0.8200 0.8997
0.5015 0.5083 0.2644
0.2341 0.7356 0.7728
0.9932 0.2272 0.5083
0.4985 0.4917 0.7356
0.0068 0.7728 0.4917
0.7659 0.2644 0.2272
0.0000 0.0000 0.0000
```

Values from the calculation:
Formation energy from the elements: -0.170 eV/atom
Symmetry: R-3

Entry 2:
First-principles (PBE) data for an optimized crystal structure of Na2Ga5Au, as listed in the Alexandria database.

Structure (POSCAR):
```
Na2Ga5Au
1.0
-0.2071 4.3164 0.9329
-7.8360 -3.0456 1.8765
2.7342 -1.7297 8.6105
Na Ga Au
4 10 2
direct
0.0000 0.0000 0.5000
0.1903 0.3806 0.2500
0.8097 0.6194 0.7500
0.0000 0.0000 0.0000
0.8092 0.6185 0.3941
0.6014 0.2028 0.7500
0.1908 0.3815 0.8941
0.3508 0.7016 0.9703
0.8092 0.6185 0.1059
0.3508 0.7016 0.5297
0.6492 0.2984 0.0297
0.3986 0.7972 0.2500
0.1908 0.3815 0.6059
0.6492 0.2984 0.4703
0.4486 0.8971 0.7500
0.5514 0.1029 0.2500
```

Values from the calculation:
Formation energy from the elements: -0.192 eV/atom
Symmetry: Cmcm

Entry 3:
First-principles (PBE) data for an optimized crystal structure of NaGa8Au2, as listed in the Alexandria database.

Structure (POSCAR):
```
NaGa8Au2
1.0
6.4818 0.0000 0.0000
0.0000 6.4818 0.0000
0.0000 0.0000 5.5306
Ga Na Au
8 1 2
direct
0.7888 0.2112 0.7395
0.2112 0.7888 0.7395
0.7888 0.7888 0.2605
0.2112 0.2112 0.2605
0.7888 0.7888 0.7395
0.7888 0.2112 0.2605
0.2112 0.7888 0.2605
0.2112 0.2112 0.7395
0.5000 0.5000 0.5000
0.0000 0.5000 0.0000
0.5000 0.0000 0.0000
```

Values from the calculation:
Formation energy from the elements: -0.043 eV/atom
Symmetry: P4/mmm

Entry 4:
First-principles (PBE) data for an optimized crystal structure of Na3Ga4Au7, as listed in the Alexandria database.

Structure (POSCAR):
```
Na3Ga4Au7
1.0
4.2532 0.0000 1.0730
1.4787 7.9014 3.1046
0.1038 0.4725 8.5546
Ga Na Au
4 3 7
direct
0.8757 0.9042 0.3443
0.3176 0.5452 0.8196
0.1243 0.0958 0.6557
0.6824 0.4548 0.1804
0.6754 0.8183 0.8309
0.3246 0.1817 0.1691
0.0000 0.5000 0.5000
0.8657 0.3702 0.8984
0.1343 0.6298 0.1016
0.0000 0.0000 0.0000
0.6931 0.1674 0.4463
0.3069 0.8326 0.5537
0.4972 0.7678 0.2378
0.5028 0.2322 0.7622
```

Values from the calculation:
Formation energy from the elements: -0.320 eV/atom
Symmetry: C2/m

Entry 5:
First-principles (PBE) data for an optimized crystal structure of NaGa2Au2, as listed in the Alexandria database.

Structure (POSCAR):
```
NaGa2Au2
1.0
-0.5955 -5.8460 5.3141
5.9330 3.1880 4.1721
-2.0031 1.6484 1.5890
Au Ga Na
4 4 2
direct
0.3220 0.1780 0.5000
0.8220 0.3220 0.5000
0.6780 0.8220 0.5000
0.1780 0.6780 0.5000
0.1238 0.3762 0.0000
0.3762 0.8762 0.0000
0.6238 0.1238 0.0000
0.8762 0.6238 0.0000
0.5000 0.5000 0.0000
0.0000 0.0000 0.0000
```

Values from the calculation:
Formation energy from the elements: -0.239 eV/atom
Symmetry: P4/mbm

Entry 6:
First-principles (PBE) data for an optimized crystal structure of Na2GaAu2, as listed in the Alexandria database.

Structure (POSCAR):
```
Na2GaAu2
1.0
-1.0603 8.3900 2.2883
-3.1979 1.7676 -7.9625
-2.6530 -0.5901 0.9345
Na Au Ga
4 4 2
direct
0.1334 0.3666 0.0000
0.3666 0.8666 0.0000
0.6334 0.1334 0.0000
0.8666 0.6334 0.0000
0.8364 0.3364 0.5000
0.1636 0.6636 0.5000
0.6636 0.8364 0.5000
0.3364 0.1636 0.5000
0.0000 0.0000 0.0000
0.5000 0.5000 0.0000
```

Values from the calculation:
Formation energy from the elements: -0.101 eV/atom
Symmetry: P4/mbm

Entry 7:
First-principles (PBE) data for an optimized crystal structure of NaGa6Au12, as listed in the Alexandria database.

Structure (POSCAR):
```
NaGa6Au12
1.0
-3.0025 -2.4350 6.4963
-2.0248 -5.0870 -5.2124
7.4779 -0.7683 0.7984
Ga Au Na
6 12 1
direct
0.2817 0.6962 0.2817
0.6962 0.2817 0.2817
0.7183 0.3038 0.7183
0.7183 0.7183 0.3038
0.2817 0.2817 0.6962
0.3038 0.7183 0.7183
0.6227 0.8655 0.6227
0.3773 0.1345 0.3773
0.1345 0.3773 0.3773
0.3773 0.3773 0.1345
0.1179 0.8821 0.5000
0.8655 0.6227 0.6227
0.8821 0.1179 0.5000
0.1179 0.5000 0.8821
0.5000 0.1179 0.8821
0.6227 0.6227 0.8655
0.8821 0.5000 0.1179
0.5000 0.8821 0.1179
0.0000 0.0000 0.0000
```

Values from the calculation:
Formation energy from the elements: -0.142 eV/atom
Symmetry: R-3m

Entry 8:
First-principles (PBE) data for an optimized crystal structure of Na2Ga3Au9, as listed in the Alexandria database.

Structure (POSCAR):
```
Na2Ga3Au9
1.0
7.2644 0.0053 -3.0843
-4.2396 6.6565 -0.0081
0.2465 0.1885 10.8486
Na Au Ga
4 18 6
direct
0.0016 0.5827 0.7503
0.3325 0.2514 0.7497
0.6675 0.7486 0.2503
0.9984 0.4173 0.2497
0.6662 0.6948 0.7522
0.5573 0.0860 0.2522
0.7849 0.4741 0.4353
0.1118 0.8618 0.2500
0.2151 0.5259 0.5647
0.7892 0.3061 0.9346
0.8882 0.1382 0.7500
0.8857 0.0274 0.0822
0.1285 0.1454 0.4346
0.4427 0.9140 0.7478
0.1143 0.9726 0.9178
0.2108 0.6939 0.0654
0.4612 0.6504 0.9353
0.5388 0.3496 0.0647
0.8715 0.8546 0.5654
0.5548 0.1965 0.5822
0.4452 0.8035 0.4178
0.3338 0.3052 0.2478
0.8261 0.6502 0.0013
0.5000 0.5000 0.5000
0.1490 0.8248 0.4987
0.5000 0.0000 0.0000
0.8510 0.1752 0.5013
0.1739 0.3498 0.9987
```

Values from the calculation:
Formation energy from the elements: -0.259 eV/atom
Symmetry: C2/c

Entry 9:
First-principles (PBE) data for an optimized crystal structure of Na4GaAu4, as listed in the Alexandria database.

Structure (POSCAR):
```
Na4GaAu4
1.0
-4.5329 -3.0709 0.9427
6.2545 -4.3067 -0.3265
1.8877 -1.2272 5.0790
Na Ga Au
4 1 4
direct
0.9579 0.3593 0.0421
0.0421 0.6407 0.4013
0.5987 0.6407 0.9579
0.4013 0.3593 0.5987
0.0000 0.0000 0.0000
0.7720 0.1548 0.6173
0.6173 0.8452 0.3827
0.2280 0.8452 0.7720
0.3827 0.1548 0.2280
```

Values from the calculation:
Formation energy from the elements: -0.243 eV/atom
Symmetry: I-42m

Entry 10:
First-principles (PBE) data for an optimized crystal structure of Na2Ga3Au5, as listed in the Alexandria database.

Structure (POSCAR):
```
Na2Ga3Au5
1.0
5.8947 0.0000 0.0000
2.9474 8.4787 0.0505
2.9474 1.3577 8.3694
Na Au Ga
4 10 6
direct
0.8569 0.4151 0.8711
0.6431 0.1289 0.5849
0.3569 0.8711 0.4151
0.1431 0.5849 0.1289
0.2500 0.5000 0.5000
0.4133 0.2622 0.9112
0.5867 0.7378 0.0888
0.0339 0.2161 0.2161
0.0867 0.0888 0.7378
0.5339 0.2161 0.2161
0.9133 0.9112 0.2622
0.4661 0.7839 0.7839
0.7500 0.5000 0.5000
0.9661 0.7839 0.7839
0.1430 0.2534 0.4605
0.7500 0.0000 0.0000
0.8570 0.7466 0.5395
0.6430 0.4605 0.2534
0.2500 0.0000 0.0000
0.3570 0.5395 0.7466
```

Values from the calculation:
Formation energy from the elements: -0.299 eV/atom
Symmetry: Ibam

Entry 11:
First-principles (PBE) data for an optimized crystal structure of Na4GaAu3, as listed in the Alexandria database.

Structure (POSCAR):
```
Na4GaAu3
1.0
-3.1834 -4.5122 0.2450
-0.5912 -3.3937 -7.8294
4.9500 -6.7914 1.5943
Na Au Ga
8 6 2
direct
0.4098 0.3106 0.8699
0.5902 0.6894 0.1301
0.7797 0.3106 0.1301
0.2203 0.6894 0.8699
0.2797 0.1301 0.3106
0.9098 0.8699 0.3106
0.0902 0.1301 0.6894
0.7203 0.8699 0.6894
0.7500 0.0000 0.0000
0.6415 0.2171 0.5000
0.8585 0.5000 0.7829
0.3585 0.7829 0.5000
0.2500 0.0000 0.0000
0.1415 0.5000 0.2171
0.2500 0.5000 0.5000
0.7500 0.5000 0.5000
```

Values from the calculation:
Formation energy from the elements: -0.319 eV/atom
Symmetry: I4/mcm

Entry 12:
First-principles (PBE) data for an optimized crystal structure of Na3Ga3Au2, as listed in the Alexandria database.

Structure (POSCAR):
```
Na3Ga3Au2
1.0
-1.0881 2.6131 -3.5198
-3.8132 0.2752 4.2812
7.7056 11.4607 6.1265
Au Na Ga
4 6 6
direct
0.7929 0.5859 0.9010
0.2071 0.4141 0.0990
0.7929 0.5859 0.5990
0.2071 0.4141 0.4010
0.3890 0.7779 0.7500
0.9161 0.8323 0.3879
0.9161 0.8323 0.1121
0.6110 0.2221 0.2500
0.0839 0.1677 0.8879
0.0839 0.1677 0.6121
0.6187 0.2375 0.4645
0.3813 0.7625 0.5355
0.6187 0.2375 0.0355
0.3813 0.7625 0.9645
0.3138 0.6276 0.2500
0.6862 0.3724 0.7500
```

Values from the calculation:
Formation energy from the elements: -0.265 eV/atom
Symmetry: Cmcm

Entry 13:
First-principles (PBE) data for an optimized crystal structure of NaGa4Au3, as listed in the Alexandria database.

Structure (POSCAR):
```
NaGa4Au3
1.0
4.4696 0.0000 0.0000
0.0000 4.4696 0.0000
0.0000 0.0000 8.5230
Na Ga Au
1 4 3
direct
0.0000 0.0000 0.5000
0.5000 0.0000 0.8226
0.5000 0.0000 0.1774
0.0000 0.5000 0.8226
0.0000 0.5000 0.1774
0.0000 0.0000 0.0000
0.5000 0.5000 0.6621
0.5000 0.5000 0.3379
```

Values from the calculation:
Formation energy from the elements: -0.255 eV/atom
Symmetry: P4/mmm

Entry 14:
First-principles (PBE) data for an optimized crystal structure of Na2GaAu3, as listed in the Alexandria database.

Structure (POSCAR):
```
Na2GaAu3
1.0
0.0417 1.6383 5.1101
1.5030 -3.7396 3.5433
4.8917 0.7217 2.0853
Au Ga Na
3 1 2
direct
0.0000 0.5000 0.0000
0.0000 0.0000 0.5000
0.5000 0.0000 0.0000
0.0000 0.0000 0.0000
0.3769 0.3769 0.3769
0.6231 0.6231 0.6231
```

Values from the calculation:
Formation energy from the elements: -0.360 eV/atom
Symmetry: R-3m

Entry 15:
First-principles (PBE) data for an optimized crystal structure of NaGa2Au2, as listed in the Alexandria database.

Structure (POSCAR):
```
NaGa2Au2
1.0
-1.5478 1.9706 -3.4776
2.6035 -2.3327 -2.4806
-3.6035 -4.2784 -3.4620
Ga Au Na
2 2 1
direct
0.7500 0.2500 0.5000
0.2500 0.7500 0.5000
0.3828 0.3828 0.2345
0.6172 0.6172 0.7655
0.0000 0.0000 0.0000
```

Values from the calculation:
Formation energy from the elements: -0.283 eV/atom
Symmetry: I4/mmm

Entry 16:
First-principles (PBE) data for an optimized crystal structure of Na2GaAu2, as listed in the Alexandria database.

Structure (POSCAR):
```
Na2GaAu2
1.0
6.1396 0.0000 0.0000
0.0000 6.9244 0.0000
-3.0698 -3.4622 6.0534
Au Na Ga
4 4 2
direct
0.8843 0.1604 0.7687
0.3843 0.6083 0.7687
0.1157 0.8396 0.2313
0.6157 0.3917 0.2313
0.6417 0.9829 0.2834
0.8583 0.6995 0.7166
0.1417 0.3005 0.2834
0.3583 0.0171 0.7166
0.7500 0.5000 0.0000
0.2500 0.5000 0.0000
```

Values from the calculation:
Formation energy from the elements: -0.196 eV/atom
Symmetry: Ibam

Entry 17:
First-principles (PBE) data for an optimized crystal structure of Na6GaAu, as listed in the Alexandria database.

Structure (POSCAR):
```
Na6GaAu
1.0
-3.7537 -0.6729 -1.7649
-3.0544 -1.3234 7.0008
-1.4305 7.6174 0.1382
Na Ga Au
6 1 1
direct
0.5000 0.9197 0.0804
0.0000 0.6612 0.3387
0.0000 0.5557 0.7969
0.0000 0.2031 0.4443
0.5000 0.8893 0.6303
0.5000 0.3697 0.1107
0.0000 0.1346 0.8654
0.5000 0.2667 0.7333
```

Values from the calculation:
Formation energy from the elements: -0.086 eV/atom
Symmetry: Amm2

Entry 18:
First-principles (PBE) data for an optimized crystal structure of Na2Ga5Au4, as listed in the Alexandria database.

Structure (POSCAR):
```
Na2Ga5Au4
1.0
-4.6006 -1.4797 2.7447
-3.4177 -5.1309 -2.8678
1.0037 -4.7965 4.7234
Au Ga Na
4 5 2
direct
0.7608 0.9131 0.5654
0.2392 0.0869 0.4346
0.7609 0.5660 0.9122
0.2391 0.4340 0.0878
0.2451 0.1566 0.8433
0.7549 0.1566 0.8433
0.7549 0.8434 0.1567
0.0000 0.5000 0.5000
0.2451 0.8434 0.1567
0.6999 0.3006 0.2996
0.3001 0.6994 0.7004
```

Values from the calculation:
Formation energy from the elements: -0.244 eV/atom
Symmetry: C2/m

Entry 19:
First-principles (PBE) data for an optimized crystal structure of NaGa3Au2, as listed in the Alexandria database.

Structure (POSCAR):
```
NaGa3Au2
1.0
-3.0358 2.8240 -0.5654
1.8682 -2.7201 -8.1311
-7.2865 -6.9235 4.5426
Au Ga Na
6 9 3
direct
0.1966 0.3931 0.1305
0.8034 0.6069 0.8695
0.4654 0.9307 0.2000
0.6432 0.2864 0.4610
0.3568 0.7136 0.5390
0.5346 0.0693 0.8000
0.9692 0.9384 0.6409
0.5000 0.0000 0.5000
0.3791 0.7582 0.8028
0.6209 0.2418 0.1972
0.3188 0.6375 0.0302
0.0308 0.0616 0.3591
0.6812 0.3625 0.9698
0.7922 0.5844 0.6221
0.2078 0.4156 0.3779
0.0000 0.0000 0.0000
0.1611 0.3223 0.7050
0.8389 0.6777 0.2950
```

Values from the calculation:
Formation energy from the elements: -0.259 eV/atom
Symmetry: C2/m